Record 1
# meta-GGA SCAN TlCuF2, PBEsol geometry
# **Symmetry**: R-3m (166)
# **ΔE_f (raw)**: -1404 meV per atom
data_TlCuF2
_cell_length_a 3.878
_cell_length_b 3.878
_cell_length_c 19.842
_cell_angle_alpha 90.00
_cell_angle_beta 90.00
_cell_angle_gamma 120.00
_space_group_name_H-M_alt 'P 1'
_space_group_IT_number 1
loop_
_space_group_symop_operation_xyz
'x,y,z'
loop_
_atom_site_label
_atom_site_type_symbol
_atom_site_fract_x
_atom_site_fract_y
_atom_site_fract_z
Tl1 Tl 0.000 0.000 0.000
Tl2 Tl 0.333 0.667 0.667
Tl3 Tl 0.667 0.333 0.333
Cu1 Cu 0.000 0.000 0.500
Cu2 Cu 0.333 0.667 0.167
Cu3 Cu 0.667 0.333 0.833
F1 F 0.000 0.000 0.410
F2 F 0.000 0.000 0.590
F3 F 0.333 0.667 0.076
F4 F 0.333 0.667 0.257
F5 F 0.667 0.333 0.743
F6 F 0.667 0.333 0.924

Record 2
# meta-GGA SCAN ZnCuF4, PBEsol geometry
# **Symmetry**: Ibam (72)
# **ΔE_f (raw)**: -2119 meV per atom
data_ZnCuF4
_cell_length_a 6.174
_cell_length_b 6.174
_cell_length_c 6.174
_cell_angle_alpha 133.45
_cell_angle_beta 128.14
_cell_angle_gamma 72.22
_space_group_name_H-M_alt 'P 1'
_space_group_IT_number 1
loop_
_space_group_symop_operation_xyz
'x,y,z'
loop_
_atom_site_label
_atom_site_type_symbol
_atom_site_fract_x
_atom_site_fract_y
_atom_site_fract_z
Zn1 Zn 0.250 0.250 0.000
Zn2 Zn 0.750 0.750 0.000
Cu1 Cu 0.000 0.500 0.500
Cu2 Cu 0.500 0.000 0.500
F1 F 0.025 0.592 0.879
F2 F 0.213 0.092 0.567
F3 F 0.287 0.854 0.879
F4 F 0.475 0.354 0.567
F5 F 0.525 0.646 0.433
F6 F 0.713 0.146 0.121
F7 F 0.787 0.908 0.433
F8 F 0.975 0.408 0.121

Record 3
# meta-GGA SCAN ZnCuF5, PBEsol geometry
# **Symmetry**: P2_1/c (14)
# **ΔE_f (raw)**: -1962 meV per atom
data_ZnCuF5
_cell_length_a 4.953
_cell_length_b 9.472
_cell_length_c 7.385
_cell_angle_alpha 90.00
_cell_angle_beta 109.95
_cell_angle_gamma 90.00
_space_group_name_H-M_alt 'P 1'
_space_group_IT_number 1
loop_
_space_group_symop_operation_xyz
'x,y,z'
loop_
_atom_site_label
_atom_site_type_symbol
_atom_site_fract_x
_atom_site_fract_y
_atom_site_fract_z
Zn1 Zn 0.031 0.016 0.237
Zn2 Zn 0.031 0.484 0.737
Zn3 Zn 0.969 0.516 0.263
Zn4 Zn 0.969 0.984 0.763
Cu1 Cu 0.390 0.242 0.623
Cu2 Cu 0.390 0.258 0.123
Cu3 Cu 0.610 0.742 0.877
Cu4 Cu 0.610 0.758 0.377
F1 F 0.076 0.118 0.593
F2 F 0.076 0.382 0.093
F3 F 0.141 0.109 0.011
F4 F 0.141 0.391 0.511
F5 F 0.292 0.641 0.339
F6 F 0.292 0.859 0.839
F7 F 0.342 0.179 0.360
F8 F 0.342 0.321 0.860
F9 F 0.377 0.592 0.767
F10 F 0.377 0.908 0.267
F11 F 0.623 0.092 0.733
F12 F 0.623 0.408 0.233
F13 F 0.658 0.679 0.140
F14 F 0.658 0.821 0.640
F15 F 0.708 0.141 0.161
F16 F 0.708 0.359 0.661
F17 F 0.859 0.609 0.489
F18 F 0.859 0.891 0.989
F19 F 0.924 0.618 0.907
F20 F 0.924 0.882 0.407

Record 4
# meta-GGA SCAN ZrCuF6, PBEsol geometry
# **Symmetry**: Fm-3m (225)
# **ΔE_f (raw)**: -3087 meV per atom
data_ZrCuF6
_cell_length_a 5.654
_cell_length_b 5.654
_cell_length_c 5.654
_cell_angle_alpha 60.00
_cell_angle_beta 60.00
_cell_angle_gamma 60.00
_space_group_name_H-M_alt 'P 1'
_space_group_IT_number 1
loop_
_space_group_symop_operation_xyz
'x,y,z'
loop_
_atom_site_label
_atom_site_type_symbol
_atom_site_fract_x
_atom_site_fract_y
_atom_site_fract_z
Zr1 Zr 0.000 0.000 0.000
Cu1 Cu 0.500 0.500 0.500
F1 F 0.251 0.251 0.749
F2 F 0.251 0.749 0.251
F3 F 0.251 0.749 0.749
F4 F 0.749 0.251 0.251
F5 F 0.749 0.251 0.749
F6 F 0.749 0.749 0.251

Record 5
# meta-GGA SCAN ZrCu2F, PBEsol geometry
# **Symmetry**: Fm-3m (225)
# **ΔE_f (raw)**: -107 meV per atom
data_ZrCu2F
_cell_length_a 6.121
_cell_length_b 6.121
_cell_length_c 6.121
_cell_angle_alpha 90.00
_cell_angle_beta 90.00
_cell_angle_gamma 90.00
_space_group_name_H-M_alt 'P 1'
_space_group_IT_number 1
loop_
_space_group_symop_operation_xyz
'x,y,z'
loop_
_atom_site_label
_atom_site_type_symbol
_atom_site_fract_x
_atom_site_fract_y
_atom_site_fract_z
Zr1 Zr 0.000 0.000 0.000
Zr2 Zr 0.000 0.500 0.500
Zr3 Zr 0.500 0.000 0.500
Zr4 Zr 0.500 0.500 0.000
Cu1 Cu 0.250 0.250 0.250
Cu2 Cu 0.250 0.250 0.750
Cu3 Cu 0.250 0.750 0.250
Cu4 Cu 0.250 0.750 0.750
Cu5 Cu 0.750 0.250 0.250
Cu6 Cu 0.750 0.250 0.750
Cu7 Cu 0.750 0.750 0.250
Cu8 Cu 0.750 0.750 0.750
F1 F 0.000 0.000 0.500
F2 F 0.000 0.500 0.000
F3 F 0.500 0.000 0.000
F4 F 0.500 0.500 0.500

Record 6
# meta-GGA SCAN ZrCuF2, PBEsol geometry
# **Symmetry**: R-3m (166)
# **ΔE_f (raw)**: -1396 meV per atom
data_ZrCuF2
_cell_length_a 3.045
_cell_length_b 3.045
_cell_length_c 24.419
_cell_angle_alpha 90.00
_cell_angle_beta 90.00
_cell_angle_gamma 120.00
_space_group_name_H-M_alt 'P 1'
_space_group_IT_number 1
loop_
_space_group_symop_operation_xyz
'x,y,z'
loop_
_atom_site_label
_atom_site_type_symbol
_atom_site_fract_x
_atom_site_fract_y
_atom_site_fract_z
Zr1 Zr 0.000 0.000 0.000
Zr2 Zr 0.333 0.667 0.667
Zr3 Zr 0.667 0.333 0.333
Cu1 Cu 0.000 0.000 0.500
Cu2 Cu 0.333 0.667 0.167
Cu3 Cu 0.667 0.333 0.833
F1 F 0.000 0.000 0.080
F2 F 0.000 0.000 0.920
F3 F 0.333 0.667 0.586
F4 F 0.333 0.667 0.747
F5 F 0.667 0.333 0.253
F6 F 0.667 0.333 0.414

Record 7
# meta-GGA SCAN FeCu, PBEsol geometry
# **Symmetry**: Cmme (67)
# **Energy relative to the elements**: 0.04 eV per atom
data_FeCu
_cell_length_a 2.842
_cell_length_b 3.928
_cell_length_c 7.994
_cell_angle_alpha 90.00
_cell_angle_beta 90.00
_cell_angle_gamma 90.00
_space_group_name_H-M_alt 'P 1'
_space_group_IT_number 1
loop_
_space_group_symop_operation_xyz
'x,y,z'
loop_
_atom_site_label
_atom_site_type_symbol
_atom_site_fract_x
_atom_site_fract_y
_atom_site_fract_z
Fe1 Fe 0.000 0.250 0.122
Fe2 Fe 0.000 0.750 0.878
Fe3 Fe 0.500 0.250 0.878
Fe4 Fe 0.500 0.750 0.122
Cu1 Cu 0.000 0.250 0.626
Cu2 Cu 0.000 0.750 0.374
Cu3 Cu 0.500 0.250 0.374
Cu4 Cu 0.500 0.750 0.626

Record 8
# meta-GGA SCAN Fe3Cu, PBEsol geometry
# **Symmetry**: Cmmm (65)
# **Energy relative to the elements**: 0.02 eV per atom
data_Fe3Cu
_cell_length_a 2.832
_cell_length_b 3.906
_cell_length_c 8.023
_cell_angle_alpha 90.00
_cell_angle_beta 90.00
_cell_angle_gamma 90.00
_space_group_name_H-M_alt 'P 1'
_space_group_IT_number 1
loop_
_space_group_symop_operation_xyz
'x,y,z'
loop_
_atom_site_label
_atom_site_type_symbol
_atom_site_fract_x
_atom_site_fract_y
_atom_site_fract_z
Fe1 Fe 0.000 0.000 0.000
Fe2 Fe 0.000 0.500 0.247
Fe3 Fe 0.000 0.500 0.753
Fe4 Fe 0.500 0.000 0.247
Fe5 Fe 0.500 0.000 0.753
Fe6 Fe 0.500 0.500 0.000
Cu1 Cu 0.000 0.000 0.500
Cu2 Cu 0.500 0.500 0.500

Record 9
# meta-GGA SCAN FeCu, PBEsol geometry
# **Symmetry**: Fm-3m (225)
# **Energy relative to the elements**: 0.66 eV per atom
data_FeCu
_cell_length_a 4.735
_cell_length_b 4.735
_cell_length_c 4.735
_cell_angle_alpha 90.00
_cell_angle_beta 90.00
_cell_angle_gamma 90.00
_space_group_name_H-M_alt 'P 1'
_space_group_IT_number 1
loop_
_space_group_symop_operation_xyz
'x,y,z'
loop_
_atom_site_label
_atom_site_type_symbol
_atom_site_fract_x
_atom_site_fract_y
_atom_site_fract_z
Fe1 Fe 0.000 0.000 0.000
Fe2 Fe 0.000 0.500 0.500
Fe3 Fe 0.500 0.000 0.500
Fe4 Fe 0.500 0.500 0.000
Cu1 Cu 0.000 0.000 0.500
Cu2 Cu 0.000 0.500 0.000
Cu3 Cu 0.500 0.000 0.000
Cu4 Cu 0.500 0.500 0.500

Record 10
# meta-GGA SCAN Ga3FeCu, PBEsol geometry
# **Symmetry**: Pm-3m (221)
# **Energy relative to the elements**: 0.39 eV per atom
data_Ga3FeCu
_cell_length_a 4.439
_cell_length_b 4.439
_cell_length_c 4.439
_cell_angle_alpha 90.00
_cell_angle_beta 90.00
_cell_angle_gamma 90.00
_space_group_name_H-M_alt 'P 1'
_space_group_IT_number 1
loop_
_space_group_symop_operation_xyz
'x,y,z'
loop_
_atom_site_label
_atom_site_type_symbol
_atom_site_fract_x
_atom_site_fract_y
_atom_site_fract_z
Ga1 Ga 0.000 0.000 0.500
Ga2 Ga 0.000 0.500 0.000
Ga3 Ga 0.500 0.000 0.000
Fe1 Fe 0.000 0.000 0.000
Cu1 Cu 0.500 0.500 0.500

Record 11
# meta-GGA SCAN NbGaFe2Cu, PBEsol geometry
# **Symmetry**: P4/mmm (123)
# **Energy relative to the elements**: 1.56 eV per atom
data_NbGaFe2Cu
_cell_length_a 4.402
_cell_length_b 4.402
_cell_length_c 4.951
_cell_angle_alpha 90.00
_cell_angle_beta 90.00
_cell_angle_gamma 90.00
_space_group_name_H-M_alt 'P 1'
_space_group_IT_number 1
loop_
_space_group_symop_operation_xyz
'x,y,z'
loop_
_atom_site_label
_atom_site_type_symbol
_atom_site_fract_x
_atom_site_fract_y
_atom_site_fract_z
Nb1 Nb 0.000 0.000 0.000
Ga1 Ga 0.000 0.000 0.500
Fe1 Fe 0.000 0.500 0.000
Fe2 Fe 0.500 0.000 0.000
Cu1 Cu 0.500 0.500 0.500

Record 12
# meta-GGA SCAN Fe2CuGe2, PBEsol geometry
# **Symmetry**: Pmma (51)
# **Energy relative to the elements**: -0.07 eV per atom
data_Fe2CuGe2
_cell_length_a 4.866
_cell_length_b 3.862
_cell_length_c 6.677
_cell_angle_alpha 90.00
_cell_angle_beta 90.00
_cell_angle_gamma 90.00
_space_group_name_H-M_alt 'P 1'
_space_group_IT_number 1
loop_
_space_group_symop_operation_xyz
'x,y,z'
loop_
_atom_site_label
_atom_site_type_symbol
_atom_site_fract_x
_atom_site_fract_y
_atom_site_fract_z
Fe1 Fe 0.000 0.000 0.000
Fe2 Fe 0.250 0.000 0.347
Fe3 Fe 0.500 0.000 0.000
Fe4 Fe 0.750 0.000 0.653
Cu1 Cu 0.000 0.500 0.500
Cu2 Cu 0.500 0.500 0.500
Ge1 Ge 0.250 0.000 0.698
Ge2 Ge 0.250 0.500 0.128
Ge3 Ge 0.750 0.000 0.302
Ge4 Ge 0.750 0.500 0.872